# 1
# LaHo2Tm5Sc (PBE, optimized geometry)
data_LaHo2Tm5Sc
_cell_length_a 5.532
_cell_length_b 19.549
_cell_length_c 10.276
_cell_angle_alpha 90.00
_cell_angle_beta 90.00
_cell_angle_gamma 90.00
_symmetry_space_group_name_H-M 'C m c 21'
_symmetry_Int_Tables_number 36
_symmetry_space_group_name_Hall 'C 2c -2'
loop_
_atom_site_label
_atom_site_type_symbol
_atom_site_fract_x
_atom_site_fract_y
_atom_site_fract_z
_atom_site_occupancy
La1 La 0.000 0.085 0.000 1
Ho1 Ho 0.000 0.386 0.283 1
Ho2 Ho 0.000 0.389 0.864 1
Tm1 Tm 0.000 0.019 0.286 1
Tm2 Tm 0.000 0.123 0.570 1
Tm3 Tm 0.000 0.203 0.257 1
Tm4 Tm 0.000 0.224 0.874 1
Tm5 Tm 0.000 0.482 0.573 1
Sc1 Sc 0.000 0.303 0.564 1
# Spin magnetization = 0.0 μB per cell
# ΔE_f = 1.7 eV/f.u.

***

# 2
# CdHg5Pb (PBE, optimized geometry)
data_CdHg5Pb
_cell_length_a 4.734
_cell_length_b 4.734
_cell_length_c 8.589
_cell_angle_alpha 90.00
_cell_angle_beta 90.00
_cell_angle_gamma 90.00
_symmetry_space_group_name_H-M 'P 4/m m m'
_symmetry_Int_Tables_number 123
_symmetry_space_group_name_Hall '-P 4 2'
loop_
_atom_site_label
_atom_site_type_symbol
_atom_site_fract_x
_atom_site_fract_y
_atom_site_fract_z
_atom_site_occupancy
Cd1 Cd 0.000 0.000 0.000 1
Hg1 Hg 0.000 0.500 0.216 1
Hg2 Hg 0.500 0.500 0.500 1
Pb1 Pb 0.000 0.000 0.500 1
# Spin magnetization = 0.0 μB per cell
# ΔE_f = 0.3 eV/f.u.
# Distance to the lowest polymorph of the same formula = 0.000 eV per atom

***

# 3
# Sc3Al2Pd (PBE, optimized geometry)
data_Sc3Al2Pd
_cell_length_a 3.387
_cell_length_b 3.387
_cell_length_c 9.912
_cell_angle_alpha 90.00
_cell_angle_beta 90.00
_cell_angle_gamma 90.00
_symmetry_space_group_name_H-M 'P 4/m m m'
_symmetry_Int_Tables_number 123
_symmetry_space_group_name_Hall '-P 4 2'
loop_
_atom_site_label
_atom_site_type_symbol
_atom_site_fract_x
_atom_site_fract_y
_atom_site_fract_z
_atom_site_occupancy
Sc1 Sc 0.000 0.000 0.000 1
Sc2 Sc 0.000 0.000 0.341 1
Al1 Al 0.500 0.500 0.170 1
Pd1 Pd 0.500 0.500 0.500 1
# Spin magnetization = 0.0 μB per cell
# ΔE_f = -3.6 eV/f.u.

***

# 4
# YCdTc2Ni (PBE, optimized geometry)
data_YCdTc2Ni
_cell_length_a 4.973
_cell_length_b 4.973
_cell_length_c 4.670
_cell_angle_alpha 90.00
_cell_angle_beta 90.00
_cell_angle_gamma 90.00
_symmetry_space_group_name_H-M 'P 4/m m m'
_symmetry_Int_Tables_number 123
_symmetry_space_group_name_Hall '-P 4 2'
loop_
_atom_site_label
_atom_site_type_symbol
_atom_site_fract_x
_atom_site_fract_y
_atom_site_fract_z
_atom_site_occupancy
Y1 Y 0.000 0.000 0.000 1
Cd1 Cd 0.500 0.500 0.500 1
Tc1 Tc 0.000 0.500 0.000 1
Ni1 Ni 0.000 0.000 0.500 1
# Spin magnetization = 4.3 μB per cell
# ΔE_f = 9.1 eV/f.u.

***

Record-wise D(E_F) values, in states/eV per atom: 1.678, 0.464, 0.515, 1.080